(1)
CsHo2Cu3Te4S | PBE-GGA | optimized geometry

Lattice parameters (Å, degrees): 8.106 8.106 17.877 90.00 90.00 149.33
Fractional positions:
Ho 0.695 0.305 0.602
Ho 0.305 0.695 0.398
Ho 0.305 0.695 0.102
Ho 0.695 0.305 0.898
Cu 0.167 0.833 0.750
Cu 0.082 0.918 0.024
Cu 0.918 0.082 0.524
Cu 0.833 0.167 0.250
Cu 0.918 0.082 0.976
Cu 0.082 0.918 0.476
Te 0.334 0.666 0.932
Te 0.334 0.666 0.568
Te 0.058 0.942 0.621
Te 0.666 0.334 0.068
Te 0.058 0.942 0.879
Te 0.942 0.058 0.121
Te 0.666 0.334 0.432
Te 0.942 0.058 0.379
S 0.731 0.269 0.750
S 0.269 0.731 0.250
Cs 0.573 0.427 0.250
Cs 0.427 0.573 0.750

Output
Magnetic moment in μB per formula unit: 0.000
V in Å³ per atom: 27.23
Total DFT energy (no corrections) in eV/atom: -4.35
Space group: Cmcm (63)

=====

(2)
Pu2ZnSb4 | PBE-GGA | optimized geometry

Lattice parameters (Å, degrees): 4.378 4.378 9.521 90.00 90.00 90.00
Fractional positions:
Zn 0.500 0.500 0.000
Sb 0.000 0.000 0.500
Sb 0.000 0.500 0.835
Sb 0.500 0.000 0.165
Sb 0.500 0.500 0.500
Pu 0.500 0.000 0.756
Pu 0.000 0.500 0.244

Output
Magnetic moment in μB per formula unit: 10.174
V in Å³ per atom: 26.07
Total DFT energy (no corrections) in eV/atom: -7.08
Space group: P-4m2 (115)

=====

The highest total DFT energy (no corrections) belongs to which entry? CsHo2Cu3Te4S